Arrangement a

Pr2Ta | PBE-GGA | optimized geometry

a b c (Å): 5.1530 5.1530 5.1530
angles (deg): 60.00 60.00 60.00
With the nearest neighbours (Å) after each atom.
Fractional positions:
Ta1 0.0000 0.0000 0.0000  8 Pr 3.16
Pr1 0.2500 0.2500 0.2500  4 Ta 3.16
Pr2 0.7500 0.7500 0.7500  4 Ta 3.16

Computed properties:
The calculation puts the calculated density at 7.94 g/cm³.

=====

Arrangement b

Pr2Ta | PBE-GGA | optimized geometry

a b c (Å): 6.1909 6.1909 6.1909
angles (deg): 60.00 60.00 60.00
With the nearest neighbours (Å) after each atom.
Fractional positions:
Pr1 0.6250 0.6250 0.1250  6 Pr 3.10
Pr2 0.6250 0.1250 0.6250  6 Pr 3.10
Pr3 0.6250 0.6250 0.6250  6 Pr 3.10
Pr4 0.1250 0.6250 0.6250  6 Pr 3.10
Ta1 0.2500 0.2500 0.2500  12 Pr 3.63, 4 Ta 3.79
Ta2 0.0000 0.0000 0.0000  12 Pr 3.63, 4 Ta 3.79

Computed properties:
The calculation puts the calculated density at 9.16 g/cm³.

=====

Arrangement c

Pr2Ta | PBE-GGA | optimized geometry

a b c (Å): 8.7173 8.7173 8.7173
angles (deg): 60.00 60.00 60.00
With the nearest neighbours (Å) after each atom.
Fractional positions:
Pr1 0.3750 0.3750 0.3750  2 Ta 2.67
Pr2 0.8750 0.3750 0.3750  2 Ta 2.67
Pr3 0.3750 0.3750 0.8750  2 Ta 2.67
Pr4 0.3750 0.8750 0.3750  2 Ta 2.67
Ta1 0.2500 0.2500 0.2500  4 Pr 2.67
Ta2 0.5000 0.5000 0.5000  4 Pr 2.67

Computed properties:
The calculation puts the calculated density at 3.28 g/cm³.

=====

How far above the most stable structure does each one sit? In meV per atom: arrangement a 0; arrangement b 260; arrangement c 1153.